La2HfCoO6 after structural relaxation, computed with GGA+U.

a = 5.670 Å, b = 5.834 Å, c = 8.132 Å
α = 90.00°, β = 89.56°, γ = 90.00°
Fractional positions:
La1 0.014 0.950 0.252
La2 0.514 0.550 0.752
La3 0.986 0.050 0.748
La4 0.486 0.450 0.248
Hf1 0.500 0.000 0.500
Hf2 0.000 0.500 0.000
Co1 0.500 0.000 0.000
Co2 0.000 0.500 0.500
O1 0.295 0.700 0.051
O2 0.795 0.800 0.551
O3 0.705 0.300 0.949
O4 0.205 0.200 0.449
O5 0.302 0.709 0.444
O6 0.802 0.791 0.944
O7 0.698 0.291 0.556
O8 0.198 0.209 0.056
O9 0.898 0.536 0.246
O10 0.398 0.964 0.746
O11 0.102 0.464 0.754
O12 0.602 0.036 0.254

- total moment (μB/f.u.) = 3.02
- total DFT energy (no corrections) (eV for the cell shown) = -169.92